Computed, not measured: an optimized crystal structure of PmPr2Sc at the PBE-GGA level of DFT.

## Properties
- V (Å³/atom) = 32.62
- size of the total moment (μB per cell) = 0.00
- Fermi-level density of states (states/eV per cell) = 6.29
- ΔE to the lowest computed polymorph (kJ/mol of atoms) = 0.55
- calculated density (g cm⁻³) = 6.00
- calculated formation energy (eV per formula unit) = 0.2

The structure in CIF format:
```
data_PmPr2Sc
_chemical_formula_sum 'Pm1 Pr2 Sc1'
_cell_length_a 3.643
_cell_length_b 3.643
_cell_length_c 9.834
_cell_angle_alpha 90.00
_cell_angle_beta 90.00
_cell_angle_gamma 90.00
_symmetry_space_group_name_H-M 'P 4/m m m'
_symmetry_Int_Tables_number 123
_symmetry_space_group_name_Hall '-P 4 2'
loop_
_atom_site_label
_atom_site_type_symbol
_atom_site_fract_x
_atom_site_fract_y
_atom_site_fract_z
Pm1 Pm 0.000 0.000 0.000
Pr1 Pr 0.500 0.500 0.265
Sc1 Sc 0.000 0.000 0.500
```


Computed, not measured: an optimized crystal structure of PmPr14Sc at the PBE-GGA level of DFT.

## Properties
- V (Å³/atom) = 35.29
- size of the total moment (μB per cell) = 0.00
- Fermi-level density of states (states/eV per cell) = 24.23
- calculated density (g cm⁻³) = 6.36
- calculated formation energy (eV per formula unit) = 0.3

The structure in CIF format:
```
data_PmPr14Sc
_chemical_formula_sum 'Pm1 Pr14 Sc1'
_cell_length_a 7.363
_cell_length_b 7.363
_cell_length_c 10.416
_cell_angle_alpha 90.00
_cell_angle_beta 90.00
_cell_angle_gamma 90.00
_symmetry_space_group_name_H-M 'P 4/m m m'
_symmetry_Int_Tables_number 123
_symmetry_space_group_name_Hall '-P 4 2'
loop_
_atom_site_label
_atom_site_type_symbol
_atom_site_fract_x
_atom_site_fract_y
_atom_site_fract_z
Pm1 Pm 0.000 0.000 0.000
Pr1 Pr 0.000 0.000 0.500
Pr2 Pr 0.000 0.500 0.000
Pr3 Pr 0.000 0.500 0.500
Pr4 Pr 0.253 0.253 0.245
Pr5 Pr 0.500 0.500 0.500
Sc1 Sc 0.500 0.500 0.000
```